This record from Alexandria via LeMat-Bulk describes a relaxed Ac2BePN4 crystal. The functional is PBE.

Structure (CIF):
```
data_Ac2BePN4
_symmetry_space_group_name_H-M 'P 1'
_symmetry_Int_Tables_number 1
_symmetry_space_group_name_Hall 'P 1'
_cell_length_a 10.992
_cell_length_b 9.835
_cell_length_c 5.791
_cell_angle_alpha 85.25
_cell_angle_beta 63.08
_cell_angle_gamma 31.67
loop_
_atom_site_label
_atom_site_fract_x
_atom_site_fract_y
_atom_site_fract_z
Ac1 0.049 0.049 0.701
Ac2 0.299 0.299 0.951
Ac3 0.701 0.701 0.049
Ac4 0.951 0.951 0.299
Be1 0.125 0.125 0.125
Be2 0.875 0.875 0.875
P1 0.375 0.375 0.375
P2 0.625 0.625 0.625
N1 0.001 0.340 0.434
N2 0.275 0.566 0.660
N3 0.340 0.001 0.725
N4 0.434 0.725 0.001
N5 0.566 0.275 0.999
N6 0.660 0.999 0.275
N7 0.725 0.434 0.340
N8 0.999 0.660 0.566
```

E_form (uncorrected), eV per atom: -0.884
Space group: Fddd, No. 70
E, eV/atom: -7.216